No. 1
## Y2CuSi (PBEsol)

Data for an optimized crystal structure of Y2CuSi.

Cell: 4.0319 4.0132 10.5657 Å, 90.00 90.00 90.00°
Last column: nearest neighbours and their distance in Å.
Space group Amm2 (No. 38)
Asymmetric unit:
Y (0.0000, 0.0000, 0.0000) (multiplicity 2)  4 Cu 2.95, 3 Si 3.01-3.04
Y (0.5000, 0.0000, 0.2813) (multiplicity 2)  4 Si 2.94, 3 Cu 2.96-3.11
Cu (0.5000, 0.0000, 0.5754) (multiplicity 2)  2 Si 2.48
Si (0.0000, 0.0000, 0.7123) (multiplicity 2)  2 Cu 2.48

Summary:
formation energy without anion corrections: -0.577 eV per atom

No. 2
## Y4CuSi (PBEsol)

Data for an optimized crystal structure of Y4CuSi.

Cell: 8.4446 8.4446 8.4446 Å, 90.00 90.00 90.00°
Last column: nearest neighbours and their distance in Å.
Space group F-43m (No. 216)
Asymmetric unit:
Y (0.1242, 0.1242, 0.1242) (multiplicity 16)  6 Y 2.97-3.01
Cu (0.0000, 0.0000, 0.5000) (multiplicity 4)  12 Y 3.50, 4 Si 3.66
Si (0.2500, 0.2500, 0.7500) (multiplicity 4)  12 Y 3.50, 4 Cu 3.66

Summary:
formation energy without anion corrections: 0.640 eV per atom

Record-wise total moment values, in μB/atom: 0.0003 0.0003